Entry 1:
A plane-wave DFT calculation with GGA-PBE was carried out for an optimized crystal structure of LiTcCl.

Structure (POSCAR):
```
LiTcCl
1.0
0.000 2.585 6.227
1.473 0.000 6.227
1.473 2.585 0.000
Li Tc Cl
1 1 1
Direct
0.000 0.000 0.000
0.688 0.688 0.312
0.349 0.349 0.651
```

Calculated values
symmetry = Fmm2
energy above the lowest structure with this stoichiometry = 76.6 meV/atom
Fermi-level density of states = 1.5 states/eV per cell

Entry 2:
A plane-wave DFT calculation with GGA-PBE was carried out for an optimized crystal structure of LiTcCl.

Structure (POSCAR):
```
LiTcCl
1.0
0.000 2.839 2.839
2.839 0.000 2.839
2.839 2.839 0.000
Li Tc Cl
1 1 1
Direct
0.000 0.000 0.000
0.500 0.500 0.500
0.750 0.750 0.750
```

Calculated values
symmetry = F-43m
energy above the lowest structure with this stoichiometry = 475.7 meV/atom
Fermi-level density of states = 2.5 states/eV per cell

Entry 3:
A plane-wave DFT calculation with GGA-PBE was carried out for an optimized crystal structure of LiTcCl2.

Structure (POSCAR):
```
LiTcCl2
1.0
1.762 1.017 8.148
-1.762 1.017 8.148
0.000 -2.035 8.148
Li Tc Cl
1 1 2
Direct
0.000 0.000 0.000
0.500 0.500 0.500
0.090 0.090 0.090
0.910 0.910 0.910
```

Calculated values
symmetry = R-3m
energy above the lowest structure with this stoichiometry = 365.5 meV/atom
Fermi-level density of states = 0.8 states/eV per cell

Entry 4:
A plane-wave DFT calculation with GGA-PBE was carried out for an optimized crystal structure of LiTcCl3.

Structure (POSCAR):
```
LiTcCl3
1.0
4.674 0.000 0.000
0.000 4.674 0.000
0.000 0.000 4.674
Li Tc Cl
1 1 3
Direct
0.000 0.000 0.000
0.500 0.500 0.500
0.000 0.000 0.500
0.000 0.500 0.000
0.500 0.000 0.000
```

Calculated values
symmetry = Pm-3m
energy above the lowest structure with this stoichiometry = 289.2 meV/atom
Fermi-level density of states = 0.0 states/eV per cell

Entry 5:
A plane-wave DFT calculation with GGA-PBE was carried out for an optimized crystal structure of LiTcCl.

Structure (POSCAR):
```
LiTcCl
1.0
0.000 3.047 3.047
3.047 0.000 3.047
3.047 3.047 0.000
Li Tc Cl
1 1 1
Direct
0.000 0.000 0.000
0.250 0.250 0.250
0.750 0.750 0.750
```

Calculated values
symmetry = F-43m
energy above the lowest structure with this stoichiometry = 886.8 meV/atom
Fermi-level density of states = 3.5 states/eV per cell

Entry 6:
A plane-wave DFT calculation with GGA-PBE was carried out for an optimized crystal structure of LiTcCl2.

Structure (POSCAR):
```
LiTcCl2
1.0
-2.811 2.811 4.987
2.811 -2.811 4.987
2.811 2.811 -4.987
Li Tc Cl
2 2 4
Direct
0.000 0.000 0.000
0.750 0.250 0.500
0.250 0.750 0.500
0.500 0.500 0.000
0.119 0.625 0.994
0.375 0.369 0.494
0.631 0.125 0.006
0.875 0.881 0.506
```

Calculated values
symmetry = I-42d
energy above the lowest structure with this stoichiometry = 272.5 meV/atom
Fermi-level density of states = 3.1 states/eV per cell

Entry 7:
A plane-wave DFT calculation with GGA-PBE was carried out for an optimized crystal structure of LiTcCl2.

Structure (POSCAR):
```
LiTcCl2
1.0
-1.564 3.195 3.832
1.564 -3.195 3.832
1.564 3.195 -3.832
Li Tc Cl
1 1 2
Direct
0.000 0.000 0.000
0.500 0.500 0.000
0.259 0.759 0.500
0.741 0.241 0.500
```

Calculated values
symmetry = Immm
energy above the lowest structure with this stoichiometry = 275.0 meV/atom
Fermi-level density of states = 2.4 states/eV per cell

Entry 8:
A plane-wave DFT calculation with GGA-PBE was carried out for an optimized crystal structure of LiTcCl.

Structure (POSCAR):
```
LiTcCl
1.0
0.000 3.070 3.070
3.070 0.000 3.070
3.070 3.070 0.000
Li Tc Cl
1 1 1
Direct
0.000 0.000 0.000
0.750 0.750 0.750
0.500 0.500 0.500
```

Calculated values
symmetry = F-43m
energy above the lowest structure with this stoichiometry = 772.0 meV/atom
Fermi-level density of states = 3.0 states/eV per cell

| no. | formation energy from raw total energies (eV per atom) | energy (eV per atom) |
| --- | --- | --- |
| 1 | 0.1893 | -4.52 |
| 2 | 0.5884 | -4.12 |
| 3 | -0.0997 | -4.09 |
| 4 | -0.2403 | -3.80 |
| 5 | 0.9994 | -3.71 |
| 6 | -0.1926 | -4.19 |
| 7 | -0.1901 | -4.18 |
| 8 | 0.8846 | -3.82 |